First-principles (PBE) data for an optimized crystal structure of TmAlB, as listed in Alexandria.

Cell: 3.9972 3.7430 3.7430 Å, 120.00 90.00 90.00°
Element x y z (fractional)
1 B 0.1666 0.6667 0.3333
2 Tm 0.6667 0.3333 0.6667
3 Al 0.1667 0.0000 0.0000

Values from the calculation:
- ρ (Mg/m³) = 7.08
- E above lowest polymorph (eV/atom) = 0.000
- DFT total energy (eV per cell) = -16.0
- energy of formation from the pure elements (eV per formula unit) = -1.1

***

First-principles (PBE) data for an optimized crystal structure of TmAlB, as listed in Alexandria.

Cell: 4.9118 4.9118 5.1124 Å, 108.70 108.70 109.42°
Element x y z (fractional)
1 Tm 0.6839 0.3161 0.0000
2 Tm 0.3161 0.6839 0.0000
3 Al 0.8227 0.8227 0.6453
4 Al 0.1773 0.1773 0.3547
5 B 0.7500 0.2500 0.5000
6 B 0.2500 0.7500 0.5000

Values from the calculation:
- ρ (Mg/m³) = 7.10
- E above lowest polymorph (eV/atom) = 0.506
- DFT total energy (eV per cell) = -29.0
- energy of formation from the pure elements (eV per formula unit) = 0.4

***

First-principles (PBE) data for an optimized crystal structure of UAlB4, as listed in Alexandria.

Cell: 3.5591 5.9267 5.9267 Å, 103.98 90.00 90.00°
Element x y z (fractional)
1 U 0.0000 0.3017 0.6983
2 U 0.0000 0.6983 0.3017
3 Al 0.0000 0.8194 0.8194
4 Al 0.0000 0.1806 0.1806
5 B 0.5000 0.9372 0.6164
6 B 0.5000 0.0628 0.3836
7 B 0.5000 0.6164 0.9372
8 B 0.5000 0.3836 0.0628
9 B 0.5000 0.3805 0.3805
10 B 0.5000 0.6195 0.6195
11 B 0.5000 0.0927 0.9073
12 B 0.5000 0.9073 0.0927

Values from the calculation:
- ρ (Mg/m³) = 8.44
- DFT total energy (eV per cell) = -88.4
- energy of formation from the pure elements (eV per formula unit) = -2.5

***

First-principles (PBE) data for an optimized crystal structure of UAl2B4, as listed in Alexandria.

Cell: 3.0783 3.4645 7.4319 Å, 103.48 101.95 90.00°
Element x y z (fractional)
1 B 0.6518 0.6518 0.3036
2 B 0.3482 0.3482 0.6964
3 B 0.0930 0.5930 0.1859
4 B 0.9070 0.4071 0.8141
5 U 0.5000 0.0000 0.0000
6 Al 0.8104 0.8104 0.6207
7 Al 0.1896 0.1896 0.3793

Values from the calculation:
- ρ (Mg/m³) = 7.39
- DFT total energy (eV per cell) = -46.9
- energy of formation from the pure elements (eV per formula unit) = -1.5

***

First-principles (PBE) data for an optimized crystal structure of UAl2B6, as listed in Alexandria.

Cell: 3.1223 5.5450 5.5450 Å, 74.89 73.65 73.65°
Element x y z (fractional)
1 U 0.5000 0.5000 0.5000
2 Al 0.3404 0.1596 0.1596
3 Al 0.6596 0.8404 0.8404
4 B 0.1933 0.5635 0.0499
5 B 0.8067 0.4365 0.9501
6 B 0.8067 0.9501 0.4365
7 B 0.0000 0.1412 0.8588
8 B 0.0000 0.8588 0.1412
9 B 0.1933 0.0499 0.5635

Values from the calculation:
- ρ (Mg/m³) = 6.84
- DFT total energy (eV per cell) = -60.3
- energy of formation from the pure elements (eV per formula unit) = -1.5

***

First-principles (PBE) data for an optimized crystal structure of Al3VB, as listed in Alexandria.

Cell: 4.1992 4.1992 4.1992 Å, 90.00 90.00 90.00°
Element x y z (fractional)
1 B 0.0000 0.0000 0.0000
2 Al 0.0000 0.5000 0.0000
3 Al 0.0000 0.0000 0.5000
4 Al 0.5000 0.0000 0.0000
5 V 0.5000 0.5000 0.5000

Values from the calculation:
- ρ (Mg/m³) = 3.20
- E above lowest polymorph (eV/atom) = 0.000
- DFT total energy (eV per cell) = -24.6
- energy of formation from the pure elements (eV per formula unit) = 2.4

***

First-principles (PBE) data for an optimized crystal structure of AlVB, as listed in Alexandria.

Cell: 5.2171 5.2171 4.1732 Å, 95.52 117.53 123.60°
Element x y z (fractional)
1 Al 0.2518 0.6411 0.8929
2 Al 0.7482 0.3589 0.1071
3 V 0.0000 0.0000 0.5000
4 V 0.5000 0.5000 0.5000
5 B 0.1317 0.9446 0.0763
6 B 0.8683 0.0554 0.9237

Values from the calculation:
- ρ (Mg/m³) = 4.00
- E above lowest polymorph (eV/atom) = 0.536
- DFT total energy (eV per cell) = -39.1
- energy of formation from the pure elements (eV per formula unit) = 0.0

***

First-principles (PBE) data for an optimized crystal structure of AlVB4, as listed in Alexandria.

Cell: 4.0379 4.0379 4.0379 Å, 60.00 60.00 60.00°
Element x y z (fractional)
1 B 0.6310 0.6310 0.1070
2 B 0.6310 0.1070 0.6310
3 B 0.6310 0.6310 0.6310
4 B 0.1070 0.6310 0.6310
5 Al 0.0000 0.0000 0.0000
6 V 0.2500 0.2500 0.2500

Values from the calculation:
- ρ (Mg/m³) = 4.32
- DFT total energy (eV per cell) = -38.6
- energy of formation from the pure elements (eV per formula unit) = 0.9

***

First-principles (PBE) data for an optimized crystal structure of AlVB2, as listed in Alexandria.

Cell: 5.7997 5.7997 4.8113 Å, 52.94 52.94 90.00°
Element x y z (fractional)
1 B 0.6260 0.1250 0.2500
2 B 0.1240 0.6250 0.2500
3 B 0.3750 0.3740 0.7500
4 B 0.8750 0.8760 0.7500
5 Al 0.5000 0.5000 0.0000
6 Al 0.2500 0.7500 0.5000
7 V 0.0000 0.0000 0.0000
8 V 0.7500 0.2500 0.5000

Values from the calculation:
- ρ (Mg/m³) = 3.91
- DFT total energy (eV per cell) = -48.6
- energy of formation from the pure elements (eV per formula unit) = 1.9

***

First-principles (PBE) data for an optimized crystal structure of Al3VB, as listed in Alexandria.

Cell: 4.8205 4.8205 4.8205 Å, 90.00 90.00 90.00°
Element x y z (fractional)
1 B 0.5000 0.5000 0.5000
2 Al 0.0000 0.5000 0.0000
3 Al 0.0000 0.0000 0.5000
4 Al 0.5000 0.0000 0.0000
5 V 0.0000 0.0000 0.0000

Values from the calculation:
- ρ (Mg/m³) = 2.12
- E above lowest polymorph (eV/atom) = 1.031
- DFT total energy (eV per cell) = -19.4
- energy of formation from the pure elements (eV per formula unit) = 7.6

***

First-principles (PBE) data for an optimized crystal structure of AlVB, as listed in Alexandria.

Cell: 2.9227 2.9227 4.9814 Å, 107.06 107.06 90.00°
Element x y z (fractional)
1 B 0.5473 0.5473 0.0945
2 Al 0.2968 0.2968 0.5935
3 V 0.0060 0.0060 0.0119

Values from the calculation:
- ρ (Mg/m³) = 3.81
- E above lowest polymorph (eV/atom) = 0.590
- DFT total energy (eV per cell) = -19.4
- energy of formation from the pure elements (eV per formula unit) = 0.2

***

First-principles (PBE) data for an optimized crystal structure of AlV2B6, as listed in Alexandria.

Cell: 3.1044 5.1742 5.1742 Å, 120.00 90.00 90.00°
Element x y z (fractional)
1 Al 0.0000 0.0000 0.0000
2 V 0.0000 0.3333 0.6667
3 V 0.0000 0.6667 0.3333
4 B 0.5000 0.3331 0.3331
5 B 0.5000 0.6669 0.6669
6 B 0.5000 0.0000 0.6669
7 B 0.5000 0.6669 0.0000
8 B 0.5000 0.3331 0.0000
9 B 0.5000 0.0000 0.3331

Values from the calculation:
- ρ (Mg/m³) = 4.47
- DFT total energy (eV per cell) = -66.3
- energy of formation from the pure elements (eV per formula unit) = -4.3

***

First-principles (PBE) data for an optimized crystal structure of AlVB, as listed in Alexandria.

Cell: 3.0880 3.0087 7.2614 Å, 90.00 102.28 90.00°
Element x y z (fractional)
1 Al 0.8066 0.7500 0.6131
2 Al 0.1934 0.2500 0.3869
3 V 0.5838 0.7500 0.1675
4 V 0.4162 0.2500 0.8325
5 B 0.9682 0.7500 0.9364
6 B 0.0318 0.2500 0.0636

Values from the calculation:
- ρ (Mg/m³) = 4.47
- E above lowest polymorph (eV/atom) = 0.000
- DFT total energy (eV per cell) = -42.3
- energy of formation from the pure elements (eV per formula unit) = -1.6

***

First-principles (PBE) data for an optimized crystal structure of AlVB3, as listed in Alexandria.

Cell: 3.9787 3.9787 3.9787 Å, 90.00 90.00 90.00°
Element x y z (fractional)
1 B 0.0000 0.5000 0.0000
2 B 0.0000 0.0000 0.5000
3 B 0.5000 0.0000 0.0000
4 Al 0.0000 0.0000 0.0000
5 V 0.5000 0.5000 0.5000

Values from the calculation:
- ρ (Mg/m³) = 2.91
- DFT total energy (eV per cell) = -24.1
- energy of formation from the pure elements (eV per formula unit) = 8.8

***

First-principles (PBE) data for an optimized crystal structure of Al2V6B, as listed in Alexandria.

Cell: 2.8380 7.1996 7.1581 Å, 120.19 88.72 90.00°
Element x y z (fractional)
1 Al 0.5793 0.6519 0.3038
2 Al 0.4207 0.3481 0.6962
3 V 0.1245 0.3470 0.3364
4 V 0.8755 0.0106 0.6636
5 V 0.8755 0.6530 0.6636
6 V 0.5000 0.2130 0.0000
7 V 0.1245 0.9894 0.3364
8 V 0.5000 0.7870 0.0000
9 B 0.0000 0.0000 0.0000

Values from the calculation:
- ρ (Mg/m³) = 4.87
- DFT total energy (eV per cell) = -67.4
- energy of formation from the pure elements (eV per formula unit) = 1.5

***

First-principles (PBE) data for an optimized crystal structure of AlVB3, as listed in Alexandria.

Cell: 3.9339 3.9339 3.9339 Å, 90.00 90.00 90.00°
Element x y z (fractional)
1 B 0.0000 0.5000 0.0000
2 B 0.0000 0.0000 0.5000
3 B 0.5000 0.0000 0.0000
4 Al 0.5000 0.5000 0.5000
5 V 0.0000 0.0000 0.0000

Values from the calculation:
- ρ (Mg/m³) = 3.01
- DFT total energy (eV per cell) = -26.9
- energy of formation from the pure elements (eV per formula unit) = 6.0

***

First-principles (PBE) data for an optimized crystal structure of Y2AlVB, as listed in Alexandria.

Cell: 5.5478 3.7652 5.5478 Å, 90.00 90.00 90.00°
Element x y z (fractional)
1 Y 0.0000 0.0000 0.5000
2 Y 0.5000 0.0000 0.0000
3 B 0.0000 0.5000 0.0000
4 Al 0.0000 0.0000 0.0000
5 V 0.5000 0.5000 0.5000

Values from the calculation:
- ρ (Mg/m³) = 3.82
- DFT total energy (eV per cell) = -27.2
- energy of formation from the pure elements (eV per formula unit) = 5.2

***

First-principles (PBE) data for an optimized crystal structure of AlBW2, as listed in Alexandria.

Cell: 3.0551 3.0551 7.8844 Å, 78.83 78.83 60.00°
Element x y z (fractional)
1 B 0.5000 0.5000 0.5000
2 Al 0.0000 0.0000 0.0000
3 W 0.1130 0.1130 0.6609
4 W 0.8870 0.8870 0.3391

Values from the calculation:
- ρ (Mg/m³) = 10.84
- E above lowest polymorph (eV/atom) = 0.000
- DFT total energy (eV per cell) = -35.2
- energy of formation from the pure elements (eV per formula unit) = 1.2

***

First-principles (PBE) data for an optimized crystal structure of AlB6W6, as listed in Alexandria.

Cell: 4.7530 6.0578 6.0578 Å, 79.64 66.90 66.90°
Element x y z (fractional)
1 Al 0.0000 0.0000 0.0000
2 B 0.0000 0.5000 0.0000
3 B 0.5000 0.5000 0.0000
4 B 0.0000 0.0000 0.5000
5 B 0.5000 0.0000 0.5000
6 B 0.5000 0.7487 0.2513
7 B 0.5000 0.2513 0.7487
8 W 0.3335 0.6665 0.6665
9 W 0.6665 0.3335 0.3335
10 W 0.0000 0.3327 0.6673
11 W 0.0000 0.6673 0.3327
12 W 0.3342 0.1658 0.1658
13 W 0.6658 0.8342 0.8342

Values from the calculation:
- ρ (Mg/m³) = 13.45
- DFT total energy (eV per cell) = -118.1
- energy of formation from the pure elements (eV per formula unit) = 3.5

***

First-principles (PBE) data for an optimized crystal structure of AlBW2, as listed in Alexandria.

Cell: 4.2210 4.2210 4.2210 Å, 60.00 60.00 60.00°
Element x y z (fractional)
1 B 0.0000 0.0000 0.0000
2 Al 0.5000 0.5000 0.5000
3 W 0.2500 0.2500 0.2500
4 W 0.7500 0.7500 0.7500

Values from the calculation:
- ρ (Mg/m³) = 12.66
- E above lowest polymorph (eV/atom) = 0.385
- DFT total energy (eV per cell) = -33.6
- energy of formation from the pure elements (eV per formula unit) = 2.7

***

First-principles (PBE) data for an optimized crystal structure of AlBW, as listed in Alexandria.

Cell: 3.1164 3.2248 7.2005 Å, 102.97 90.00 90.00°
Element x y z (fractional)
1 B 0.2500 0.5337 0.0679
2 B 0.7500 0.4663 0.9321
3 Al 0.7500 0.2999 0.6001
4 Al 0.2500 0.7001 0.3999
5 W 0.2500 0.9093 0.8189
6 W 0.7500 0.0907 0.1811

Values from the calculation:
- ρ (Mg/m³) = 10.44
- DFT total energy (eV per cell) = -48.6
- energy of formation from the pure elements (eV per formula unit) = -0.9

***

First-principles (PBE) data for an optimized crystal structure of AlBW2, as listed in Alexandria.

Cell: 3.6789 3.6789 9.2502 Å, 78.53 78.53 90.00°
Element x y z (fractional)
1 B 0.5000 0.5000 0.0000
2 B 0.2500 0.7500 0.5000
3 Al 0.0000 0.0000 0.0000
4 Al 0.7500 0.2500 0.5000
5 W 0.6151 0.1250 0.2500
6 W 0.1349 0.6250 0.2500
7 W 0.3750 0.3849 0.7500
8 W 0.8750 0.8651 0.7500

Values from the calculation:
- ρ (Mg/m³) = 11.21
- E above lowest polymorph (eV/atom) = 0.570
- DFT total energy (eV per cell) = -65.7
- energy of formation from the pure elements (eV per formula unit) = 3.5

***

First-principles (PBE) data for an optimized crystal structure of AlB6W2, as listed in Alexandria.

Cell: 3.4499 5.1560 5.1560 Å, 120.00 90.00 90.00°
Element x y z (fractional)
1 Al 0.0000 0.0000 0.0000
2 B 0.5000 0.3333 0.3333
3 B 0.5000 0.6667 0.6667
4 B 0.5000 0.0000 0.6667
5 B 0.5000 0.6667 0.0000
6 B 0.5000 0.3333 0.0000
7 B 0.5000 0.0000 0.3333
8 W 0.0000 0.3333 0.6667
9 W 0.0000 0.6667 0.3333

Values from the calculation:
- ρ (Mg/m³) = 9.61
- DFT total energy (eV per cell) = -70.2
- energy of formation from the pure elements (eV per formula unit) = -0.4

***

First-principles (PBE) data for an optimized crystal structure of YAlB, as listed in Alexandria.

Cell: 6.3662 6.3662 6.4617 Å, 108.89 108.89 110.04°
Element x y z (fractional)
1 Y 0.6250 0.3750 0.2500
2 Y 0.1250 0.3750 0.7500
3 Y 0.6250 0.3750 0.7500
4 Y 0.6250 0.8750 0.2500
5 B 0.0737 0.9263 0.5000
6 B 0.8237 0.1763 0.0000
7 B 0.4263 0.5737 0.5000
8 B 0.1763 0.8237 0.0000
9 Al 0.1231 0.6231 0.2463
10 Al 0.1269 0.1269 0.2537
11 Al 0.8731 0.8731 0.7463
12 Al 0.3769 0.8769 0.7537

Values from the calculation:
- ρ (Mg/m³) = 4.15
- DFT total energy (eV per cell) = -68.2
- energy of formation from the pure elements (eV per formula unit) = -0.2

***

First-principles (PBE) data for an optimized crystal structure of Y3AlB, as listed in Alexandria.

Cell: 5.0105 5.0105 5.0105 Å, 90.00 90.00 90.00°
Element x y z (fractional)
1 Y 0.0000 0.5000 0.0000
2 Y 0.0000 0.0000 0.5000
3 Y 0.5000 0.0000 0.0000
4 B 0.0000 0.0000 0.0000
5 Al 0.5000 0.5000 0.5000

Values from the calculation:
- ρ (Mg/m³) = 4.02
- E above lowest polymorph (eV/atom) = 0.000
- DFT total energy (eV per cell) = -30.7
- energy of formation from the pure elements (eV per formula unit) = -0.9

***

First-principles (PBE) data for an optimized crystal structure of YAl2B, as listed in Alexandria.

Cell: 7.3364 7.3364 5.8194 Å, 50.92 50.92 90.00°
Element x y z (fractional)
1 Y 0.0000 0.0000 0.0000
2 Y 0.7500 0.2500 0.5000
3 B 0.5000 0.5000 0.0000
4 B 0.2500 0.7500 0.5000
5 Al 0.5339 0.1250 0.2500
6 Al 0.2161 0.6250 0.2500
7 Al 0.3750 0.4661 0.7500
8 Al 0.8750 0.7839 0.7500

Values from the calculation:
- ρ (Mg/m³) = 3.60
- DFT total energy (eV per cell) = -41.8
- energy of formation from the pure elements (eV per formula unit) = -0.3